Material: CaCuPt4
Method: DFT, PBE-GGA
State: optimized geometry

space group = No. 216
energy of formation from the pure elements = -0.441 eV per atom
calculated volume = 17.88 Å³ per atom

```
CaCuPt4
1.0
0.000 3.771 3.771
3.771 0.000 3.771
3.771 3.771 0.000
Ca Cu Pt
1 1 4
Direct
0.000 0.000 0.000 Ca
0.750 0.750 0.750 Cu
0.375 0.375 0.375 Pt
0.375 0.375 0.874 Pt
0.375 0.874 0.375 Pt
0.874 0.375 0.375 Pt
```